Here is a relaxed LaThHgSb crystal from Alexandria via LeMat-Bulk. Energies are from GGA-PBE.

Cell and atoms, written as extended XYZ:
```
4
Lattice="5.489 0.000 0.000 2.744 4.753 0.000 2.744 1.584 4.481" Properties=species:S:1:pos:R:3 pbc="T T T"
Sb 0.000 0.000 0.000
Hg 5.489 3.169 2.241
Th 2.744 1.584 1.120
La 8.233 4.753 3.361
```

## Properties
Magnetization: 0.002 μB per cell
Formation energy from raw total energies: -0.55 eV per atom